<one>
Density functional theory data (GGA-PBE) for WBr2Cl after structural relaxation.

It has space group R3m (No. 160, hexagonal axes), with a = 3.2235 Å, b = 3.2235 Å, c = 30.0101 Å, α = 90.00°, β = 90.00° and γ = 120.00°. Symmetry generates all atoms from W at (0.0000, 0.0000, 0.0000), Br at (0.0000, 0.0000, 0.2718), Br at (0.0000, 0.0000, 0.4988) and Cl at (0.0000, 0.0000, 0.7226).

The value obtained for the density of states at the Fermi level is 1.0625 states/eV per atom. The total magnetization is 0.07 μB per formula unit.



<two>
Density functional theory data (GGA-PBE) for WBr2Cl after structural relaxation.

It has space group Amm2 (No. 38), with a = 3.7797 Å, b = 5.1925 Å, c = 13.4209 Å, α = 90.00°, β = 90.00° and γ = 90.00°. Symmetry generates all atoms from W at (0.0000, 0.0000, 0.0000), Br at (0.0000, 0.0000, 0.5288), Br at (0.5000, 0.0000, 0.1354) and Cl at (0.5000, 0.0000, 0.8813).

The value obtained for the density of states at the Fermi level is 0.2369 states/eV per atom. The total magnetization is 3.00 μB per formula unit.



Most stable: <two>. Least stable: <one>.



<one>
Density functional theory data (GGA-PBE) for K2RbBa after structural relaxation.

It has space group P4/mmm (No. 123), with a = 4.4698 Å, b = 4.4698 Å, c = 14.6519 Å, α = 90.00°, β = 90.00° and γ = 90.00°. Symmetry generates all atoms from K at (0.0000, 0.0000, 0.2395), Rb at (0.5000, 0.5000, 0.5000) and Ba at (0.5000, 0.5000, 0.0000).

The value obtained for the density of states at the Fermi level is 0.8931 states/eV per atom. The total magnetization is 0.00 μB per formula unit.



<two>
Density functional theory data (GGA-PBE) for K2RbBa after structural relaxation.

It has space group P4/mmm (No. 123), with a = 7.7788 Å, b = 7.7788 Å, c = 4.8931 Å, α = 90.00°, β = 90.00° and γ = 90.00°. Symmetry generates all atoms from K at (0.0000, 0.5000, 0.0000), Rb at (0.0000, 0.0000, 0.5000) and Ba at (0.5000, 0.5000, 0.5000).

The value obtained for the density of states at the Fermi level is 1.1527 states/eV per atom. The total magnetization is 0.00 μB per formula unit.



Most stable: <one>. Least stable: <two>.



<one>
Density functional theory data (GGA-PBE) for SiAgBr2 after structural relaxation.

It has space group Imm2 (No. 44), with a = 3.4420 Å, b = 6.6883 Å, c = 9.2000 Å, α = 90.00°, β = 90.00° and γ = 90.00°. Symmetry generates all atoms from Si at (0.0000, 0.0000, 0.0000), Ag at (0.0000, 0.5000, 0.2997), Br at (0.0000, 0.0000, 0.5682) and Br at (0.0000, 0.5000, 0.7179).

The value obtained for the density of states at the Fermi level is 0.3203 states/eV per atom. The total magnetization is 0.00 μB per formula unit.



<two>
Density functional theory data (GGA-PBE) for SiAgBr2 after structural relaxation.

It has space group I-4m2 (No. 119), with a = 3.9429 Å, b = 3.9429 Å, c = 15.1134 Å, α = 90.00°, β = 90.00° and γ = 90.00°. Symmetry generates all atoms from Si at (0.0000, 0.0000, 0.0000), Ag at (0.0000, 0.5000, 0.7500), Br at (0.0000, 0.0000, 0.5000) and Br at (0.0000, 0.5000, 0.2500).

The value obtained for the density of states at the Fermi level is 0.2985 states/eV per atom. The total magnetization is 0.95 μB per formula unit.



Most stable: <one>. Least stable: <two>.



<one>
Density functional theory data (GGA-PBE) for B5C7 after structural relaxation.

It has space group P3m1 (No. 156), with a = 2.6207 Å, b = 2.6207 Å, c = 13.2426 Å, α = 90.00°, β = 90.00° and γ = 120.00°. Symmetry generates all atoms from B at (0.0000, 0.0000, 0.0000), B at (0.0000, 0.0000, 0.1354), B at (0.3333, 0.6667, 0.2093), B at (0.6667, 0.3333, 0.3770), B at (0.6667, 0.3333, 0.8473), C at (0.0000, 0.0000, 0.5374), C at (0.0000, 0.0000, 0.6538), C at (0.3333, 0.6667, 0.3243), C at (0.3333, 0.6667, 0.6939), C at (0.3333, 0.6667, 0.8103), C at (0.6667, 0.3333, 0.4982) and C at (0.6667, 0.3333, 0.9911).

The value obtained for the density of states at the Fermi level is 0.2398 states/eV per atom. The total magnetization is 0.00 μB per formula unit.



<two>
Density functional theory data (GGA-PBE) for B5C7 after structural relaxation.

It has space group P1 (No. 1), with a = 3.6391 Å, b = 3.8287 Å, c = 5.9098 Å, α = 90.02°, β = 105.03° and γ = 90.32°. Symmetry generates all atoms from B at (0.0000, 0.0000, 0.0000), B at (0.1039, 0.6592, 0.8415), B at (0.2325, 0.9388, 0.6300), B at (0.6663, 0.2858, 0.8390), B at (0.8004, 0.6821, 0.1611), C at (0.1407, 0.4544, 0.3284), C at (0.3136, 0.2147, 0.1747), C at (0.4588, 0.7064, 0.4816), C at (0.4609, 0.4516, 0.0116), C at (0.6323, 0.9746, 0.3230), C at (0.7689, 0.4636, 0.6286) and C at (0.9505, 0.2212, 0.4834).

The value obtained for the density of states at the Fermi level is 0.0751 states/eV per atom. The total magnetization is 0.00 μB per formula unit.



Most stable: <two>. Least stable: <one>.



<one>
Density functional theory data (GGA-PBE) for B2C after structural relaxation.

It has space group Pmn2_1 (No. 31), with a = 2.6890 Å, b = 8.8798 Å, c = 4.6375 Å, α = 90.00°, β = 90.00° and γ = 90.00°. Symmetry generates all atoms from B at (0.0000, 0.0093, 0.0000), B at (0.0000, 0.4449, 0.5390), B at (0.0000, 0.4470, 0.9431), B at (0.0000, 0.7847, 0.2696), C at (0.0000, 0.3051, 0.7418) and C at (0.0000, 0.9603, 0.3371).

The value obtained for the density of states at the Fermi level is 0.1311 states/eV per atom. The total magnetization is 0.00 μB per formula unit.



<two>
Density functional theory data (GGA-PBE) for B2C after structural relaxation.

It has space group Cm (No. 8), with a = 8.2848 Å, b = 2.6766 Å, c = 9.2179 Å, α = 90.00°, β = 111.62° and γ = 90.00°. Symmetry generates all atoms from B at (0.0000, 0.0000, 0.0000), B at (0.0012, 0.0000, 0.4808), B at (0.0924, 0.5000, 0.9302), B at (0.2659, 0.5000, 0.4391), B at (0.2865, 0.5000, 0.9309), B at (0.3400, 0.0000, 0.3387), B at (0.3876, 0.0000, 0.8748), B at (0.4336, 0.0000, 0.7002), C at (0.0591, 0.5000, 0.4117), C at (0.4241, 0.5000, 0.6149), C at (0.4325, 0.0000, 0.2203) and C at (0.4461, 0.5000, 0.1432).

The value obtained for the density of states at the Fermi level is 0.0685 states/eV per atom. The total magnetization is 0.00 μB per formula unit.



Most stable: <one>. Least stable: <two>.



<one>
Density functional theory data (GGA-PBE) for CoAgBr2 after structural relaxation.

It has space group Cmmm (No. 65), with a = 3.6235 Å, b = 6.8585 Å, c = 7.8718 Å, α = 90.00°, β = 90.00° and γ = 90.00°. Symmetry generates all atoms from Co at (0.0000, 0.0000, 0.0000), Ag at (0.0000, 0.0000, 0.5000) and Br at (0.0000, 0.5000, 0.2211).

The value obtained for the density of states at the Fermi level is 1.1283 states/eV per atom. The total magnetization is 2.09 μB per formula unit.



<two>
Density functional theory data (GGA-PBE) for CoAgBr2 after structural relaxation.

It has space group C2/m (No. 12), with a = 6.4598 Å, b = 3.7278 Å, c = 7.3860 Å, α = 90.00°, β = 104.64° and γ = 90.00°. Symmetry generates all atoms from Co at (0.0000, 0.0000, 0.0000), Ag at (0.0000, 0.5000, 0.5000) and Br at (0.2215, 0.5000, 0.2059).

The value obtained for the density of states at the Fermi level is 0.8950 states/eV per atom. The total magnetization is 2.06 μB per formula unit.



Most stable: <two>. Least stable: <one>.



<one>
Density functional theory data (GGA-PBE) for ZnRuBr2 after structural relaxation.

It has space group F-43m (No. 216), with a = 6.9283 Å, b = 6.9283 Å, c = 6.9283 Å, α = 90.00°, β = 90.00° and γ = 90.00°. Symmetry generates all atoms from Zn at (0.0000, 0.0000, 0.0000), Ru at (0.2500, 0.2500, 0.7500), Br at (0.0000, 0.0000, 0.5000) and Br at (0.2500, 0.2500, 0.2500).

The value obtained for the density of states at the Fermi level is 0.9994 states/eV per atom. The total magnetization is 2.34 μB per formula unit.



<two>
Density functional theory data (GGA-PBE) for ZnRuBr2 after structural relaxation.

It has space group I-4m2 (No. 119), with a = 3.7539 Å, b = 3.7539 Å, c = 13.1384 Å, α = 90.00°, β = 90.00° and γ = 90.00°. Symmetry generates all atoms from Zn at (0.0000, 0.0000, 0.0000), Ru at (0.0000, 0.5000, 0.2500), Br at (0.0000, 0.0000, 0.5000) and Br at (0.0000, 0.5000, 0.7500).

The value obtained for the density of states at the Fermi level is 1.3186 states/eV per atom. The total magnetization is 2.18 μB per formula unit.



Most stable: <two>. Least stable: <one>.



<one>
Density functional theory data (GGA-PBE) for LiRu2Br after structural relaxation.

It has space group Cmmm (No. 65), with a = 4.9632 Å, b = 8.5029 Å, c = 2.9791 Å, α = 90.00°, β = 90.00° and γ = 90.00°. Symmetry generates all atoms from Li at (0.0000, 0.0000, 0.0000), Ru at (0.2500, 0.2500, 0.5000) and Br at (0.0000, 0.5000, 0.0000).

The value obtained for the density of states at the Fermi level is 1.2112 states/eV per atom. The total magnetization is 0.00 μB per formula unit.



<two>
Density functional theory data (GGA-PBE) for LiRu2Br after structural relaxation.

It has space group I-42d (No. 122), with a = 7.9230 Å, b = 7.9230 Å, c = 4.5789 Å, α = 90.00°, β = 90.00° and γ = 90.00°. Symmetry generates all atoms from Li at (0.0000, 0.0000, 0.0000), Ru at (0.1939, 0.2500, 0.6250) and Br at (0.0000, 0.0000, 0.5000).

The value obtained for the density of states at the Fermi level is 1.0093 states/eV per atom. The total magnetization is 0.00 μB per formula unit.



Most stable: <one>. Least stable: <two>.